Record 1
AlFeHRu2 | PBE | optimized geometry

```
AlFeHRu2
1.0
-3.577 0.362 1.944
-1.651 -2.757 -2.526
0.887 -2.443 2.087
Ru Fe H Al
2 1 1 1
Direct
0.000 0.500 0.000
0.500 0.000 0.000
0.000 0.000 0.500
0.000 0.000 0.000
0.500 0.500 0.500
```

N(E_F): 0.80 states/eV/atom
magnetization: 2.8 μB per cell
DFT total energy: -6.96 eV per atom


Record 2
ZnCu2Pd5Au2 | PBE | optimized geometry

```
ZnCu2Pd5Au2
1.0
3.917 0.000 0.000
0.000 8.975 0.000
0.000 0.000 8.975
Zn Cu Pd Au
2 4 10 4
Direct
0.000 0.000 0.000
0.000 0.500 0.500
0.000 0.125 0.625
0.000 0.875 0.375
0.000 0.625 0.875
0.000 0.375 0.125
0.500 0.197 0.077
0.500 0.803 0.923
0.500 0.077 0.803
0.500 0.697 0.423
0.500 0.923 0.197
0.500 0.303 0.577
0.500 0.577 0.697
0.500 0.423 0.303
0.500 0.500 0.000
0.500 0.000 0.500
0.000 0.671 0.171
0.000 0.329 0.829
0.000 0.171 0.329
0.000 0.829 0.671
```

N(E_F): 0.64 states/eV/atom
magnetization: 0.0 μB per cell
DFT total energy: -4.26 eV per atom


Record 3
NiHg2Pd8 | PBE | optimized geometry

```
NiHg2Pd8
1.0
-4.673 -1.287 0.857
-1.025 -7.485 -2.719
-0.036 -7.657 2.418
Ni Hg Pd
1 2 8
Direct
0.000 0.000 0.000
0.321 0.823 0.823
0.679 0.177 0.177
0.282 0.335 0.838
0.718 0.162 0.665
0.903 0.739 0.739
0.097 0.261 0.261
0.282 0.838 0.335
0.718 0.665 0.162
0.774 0.577 0.577
0.226 0.423 0.423
```

polymorph energy (0 for the lowest one): 112 meV per atom
N(E_F): 1.34 states/eV/atom
magnetization: 0.8 μB per cell


Record 4
Sr7In3O2 | PBE | optimized geometry

```
Sr7In3O2
1.0
5.295 0.000 0.000
0.000 5.058 -1.104
0.000 0.199 13.050
Sr In O
7 3 2
Direct
0.000 0.399 0.799
0.000 0.798 0.596
0.000 0.000 0.000
0.000 0.601 0.201
0.500 0.102 0.203
0.500 0.898 0.797
0.000 0.202 0.404
0.500 0.500 0.000
0.500 0.707 0.414
0.500 0.293 0.586
0.000 0.897 0.794
0.000 0.103 0.206
```

N(E_F): 0.61 states/eV/atom
magnetization: 0.0 μB per cell
formation energy without anion corrections: -1144 meV per atom


Q: What is the magnetization in the third record?
A: 0.8 μB per cell